Here is HfTiPbC after structural relaxation from Alexandria via LeMat-Bulk. Energies are from GGA-PBE.

Lattice parameters (Å, degrees): 3.2319 3.2319 24.4286 90.00 90.00 120.00
Space group R3m (No. 160, hexagonal axes)
One atom of each set of equivalent atoms:
1 Hf 0.0000 0.0000 0.0000 [3 per cell]
2 Ti 0.0000 0.0000 0.1082 [3 per cell]
3 Pb 0.0000 0.0000 0.2275 [3 per cell]
4 C 0.0000 0.0000 0.3964 [3 per cell]

Properties
The energy of formation is -0.05 eV/atom. The value obtained for the total moment is 0.42 μB per formula unit.

=====

Here is HfNb2HgSb after structural relaxation from Alexandria via LeMat-Bulk. Energies are from GGA-PBE.

Lattice parameters (Å, degrees): 5.087 5.087 5.258 90.00 90.00 90.00
Space group P4/mmm (No. 123)
One atom of each set of equivalent atoms:
1 Hf 0.000 0.000 0.000 [1 per cell]
2 Nb 0.000 0.500 0.500 [2 per cell]
3 Hg 0.500 0.500 0.500 [1 per cell]
4 Sb 0.500 0.500 0.000 [1 per cell]

Properties
Its energy is -5.238 eV/atom. The value obtained for the total moment is 0.00 μB per formula unit.

=====

Here is HfZnSn2 after structural relaxation from Alexandria via LeMat-Bulk. Energies are from GGA-PBE.

Lattice parameters (Å, degrees): 3.2909 3.2909 30.1074 90.00 90.00 120.00
Space group R-3m (No. 166, hexagonal axes)
One atom of each set of equivalent atoms:
1 Hf 0.0000 0.0000 0.0000 [3 per cell]
2 Zn 0.0000 0.0000 0.5000 [3 per cell]
3 Sn 0.0000 0.0000 0.4124 [6 per cell]

Properties
The energy of formation is -0.01 eV/atom. The value obtained for the total moment is 0.00 μB per formula unit.

=====

Which of these has the highest total moment?
HfTiPbC

=====

total moment of number 3 (HfZnSn2)?
0.00 μB per formula unit